(1)
{
  "formula": "KBr",
  "functional": "PBE-GGA",
  "state": "optimized geometry",
  "e_tot_ev_per_atom": -3.04,
  "n_ef_per_ev_fu": 0.00,
  "total_magnetization_mub_per_fu": 0.12,
  "sg": "F-43m (216)",
  "e_form_raw_kcal_per_mol_atoms": -38.08,
  "lattice_angstrom": [[0.000, 3.714, 3.714], [3.714, 0.000, 3.714], [3.714, 3.714, 0.000]],
  "species": ["K", "Br"],
  "fractional_positions": [[0.000, 0.000, 0.000], [0.250, 0.250, 0.250]]
}

(2)
{
  "formula": "K3Br",
  "functional": "PBE-GGA",
  "state": "optimized geometry",
  "e_tot_ev_per_atom": -1.79,
  "polymorph_energy_ev_per_fu": 1.10,
  "n_ef_per_ev_fu": 1.85,
  "total_magnetization_mub_per_fu": 0.00,
  "sg": "R-3m (166)",
  "e_form_raw_kcal_per_mol_atoms": -12.72,
  "lattice_angstrom": [[6.295, 3.634, 1.527], [-6.295, 3.634, 1.527], [0.000, -7.269, 1.527]],
  "species": ["K", "K", "K", "Br"],
  "fractional_positions": [[0.000, 0.500, 0.500], [0.500, 0.000, 0.500], [0.500, 0.500, 0.000], [0.000, 0.000, 0.000]]
}